1.
This record from Alexandria describes an optimized crystal structure of SrZn3Rh. The functional is PBE.

abc: 3.6671 3.6671 7.6297
angles: 90.00 90.00 90.00
Sites, in units of the cell vectors:
1 Sr 0.0000 0.0000 0.0000
2 Zn 0.0000 0.0000 0.6226
3 Zn 0.0000 0.5000 0.3732
4 Zn 0.5000 0.0000 0.3732
5 Rh 0.5000 0.5000 0.6564

- Energy relative to the lowest polymorph listed for this composition: 0.247 eV/atom
- Total DFT energy (no corrections): -2.6715 eV/atom
- Calculated formation energy: -100 meV per atom
- D(E_F): 2.842 states/eV/cell
- Symmetry: P4mm

2.
This record from Alexandria describes an optimized crystal structure of Sc4Si2H. The functional is PBE.

abc: 7.9038 7.9038 7.9038
angles: 150.09 150.09 42.81
Sites, in units of the cell vectors:
1 Sc 0.0000 0.5000 0.5000
2 Sc 0.1788 0.1788 0.0000
3 Sc 0.5000 0.0000 0.5000
4 Sc 0.8212 0.8212 0.0000
5 Si 0.3654 0.3654 0.0000
6 Si 0.6346 0.6346 0.0000
7 H 0.0000 0.0000 0.0000

- Energy relative to the lowest polymorph listed for this composition: 0.014 eV/atom
- Total DFT energy (no corrections): -6.2733 eV/atom
- D(E_F): 6.352 states/eV/cell
- Symmetry: I4/mmm

3.
This record from Alexandria describes an optimized crystal structure of TaMnSi2. The functional is PBE.

abc: 4.0395 4.0395 5.3216
angles: 99.50 99.50 41.11
Sites, in units of the cell vectors:
1 Ta 0.0000 0.0000 0.0000
2 Mn 0.5000 0.5000 0.5000
3 Si 0.2395 0.2395 0.6884
4 Si 0.7605 0.7605 0.3116

- Total DFT energy (no corrections): -8.1091 eV/atom
- Raw formation energy: -0.142 eV per atom
- D(E_F): 3.144 states/eV/cell
- Symmetry: C2/m

4.
This record from Alexandria describes an optimized crystal structure of Ta5Mo3H12. The functional is PBE.

abc: 9.6282 9.6282 9.6282
angles: 109.47 109.47 109.47
Sites, in units of the cell vectors:
1 Ta 0.0000 0.0000 0.0000
2 Ta 0.0000 0.0000 0.5000
3 Ta 0.0000 0.5000 0.0000
4 Ta 0.0000 0.5000 0.5000
5 Ta 0.1250 0.7500 0.8750
6 Ta 0.1250 0.8750 0.2500
7 Ta 0.2500 0.1250 0.8750
8 Ta 0.2500 0.6250 0.3750
9 Ta 0.3750 0.2500 0.6250
10 Ta 0.3750 0.6250 0.7500
11 Ta 0.5000 0.0000 0.0000
12 Ta 0.5000 0.0000 0.5000
13 Ta 0.5000 0.5000 0.0000
14 Ta 0.5000 0.5000 0.5000
15 Ta 0.6250 0.3750 0.2500
16 Ta 0.6250 0.7500 0.3750
17 Ta 0.7500 0.3750 0.6250
18 Ta 0.7500 0.8750 0.1250
19 Ta 0.8750 0.1250 0.7500
20 Ta 0.8750 0.2500 0.1250
21 Mo 0.1250 0.2500 0.3750
22 Mo 0.1250 0.3750 0.7500
23 Mo 0.2500 0.3750 0.1250
24 Mo 0.2500 0.8750 0.6250
25 Mo 0.3750 0.1250 0.2500
26 Mo 0.3750 0.7500 0.1250
27 Mo 0.6250 0.2500 0.8750
28 Mo 0.6250 0.8750 0.7500
29 Mo 0.7500 0.1250 0.3750
30 Mo 0.7500 0.6250 0.8750
31 Mo 0.8750 0.6250 0.2500
32 Mo 0.8750 0.7500 0.6250
33 H 0.0728 0.2291 0.1530
34 H 0.0728 0.3437 0.9198
35 H 0.0761 0.7291 0.6563
36 H 0.0761 0.8470 0.4198
37 H 0.0802 0.6530 0.4239
38 H 0.0802 0.9272 0.6563
39 H 0.1530 0.0728 0.2291
40 H 0.1530 0.5802 0.9239
41 H 0.1563 0.2291 0.5761
42 H 0.1563 0.4272 0.5802
43 H 0.2291 0.1530 0.0728
44 H 0.2291 0.5761 0.1563
45 H 0.2709 0.3437 0.9239
46 H 0.2709 0.4272 0.3470
47 H 0.3437 0.9198 0.0728
48 H 0.3437 0.9239 0.2709
49 H 0.3470 0.2709 0.4272
50 H 0.3470 0.5761 0.9198
51 H 0.4198 0.0761 0.8470
52 H 0.4198 0.8437 0.5728
53 H 0.4239 0.0802 0.6530
54 H 0.4239 0.8437 0.7709
55 H 0.4272 0.3470 0.2709
56 H 0.4272 0.5802 0.1563
57 H 0.5728 0.4198 0.8437
58 H 0.5728 0.6530 0.7291
59 H 0.5761 0.1563 0.2291
60 H 0.5761 0.9198 0.3470
61 H 0.5802 0.1563 0.4272
62 H 0.5802 0.9239 0.1530
63 H 0.6530 0.4239 0.0802
64 H 0.6530 0.7291 0.5728
65 H 0.6563 0.0761 0.7291
66 H 0.6563 0.0802 0.9272
67 H 0.7291 0.5728 0.6530
68 H 0.7291 0.6563 0.0761
69 H 0.7709 0.4239 0.8437
70 H 0.7709 0.8470 0.9272
71 H 0.8437 0.5728 0.4198
72 H 0.8437 0.7709 0.4239
73 H 0.8470 0.4198 0.0761
74 H 0.8470 0.9272 0.7709
75 H 0.9198 0.0728 0.3437
76 H 0.9198 0.3470 0.5761
77 H 0.9239 0.1530 0.5802
78 H 0.9239 0.2709 0.3437
79 H 0.9272 0.6563 0.0802
80 H 0.9272 0.7709 0.8470

- Total DFT energy (no corrections): -6.5493 eV/atom
- D(E_F): 34.728 states/eV/cell
- Symmetry: Ia-3d